Material: Pm3TlH
Method: DFT, PBE-GGA
State: optimized geometry

a b c (Å): 4.9830 4.9830 4.9830
angles (deg): 90.00 90.00 90.00
Last column: magnetic moment on the atom in μB.
Atoms (fractional coordinates):
H  0.0000  0.0000  0.0000  0.00
Tl  0.5000  0.5000  0.5000  0.01
Pm  0.0000  0.5000  0.0000  0.25
Pm  0.0000  0.0000  0.5000  0.25
Pm  0.5000  0.0000  0.0000  0.25

The calculation puts the calculated total energy at -4.301 eV/atom. As for the symmetry: Pm-3m. The value obtained for the density is 8.59 g/cm³.